Compound: Y3Tl
Source: Alexandria
Functional: PBEsol
Structure: relaxed

Fermi-level density of states ... 23.6 states/eV per cell
Formation energy from the elements ... -22 kJ per mole of atoms

a = 8.4502 Å, b = 10.5943 Å, c = 5.0702 Å
α = 90.00°, β = 90.00°, γ = 90.00°
Last column: nearest neighbours and their distance in Å.
Space group Cmcm (No. 63)
Asymmetric unit:
Y: 0.0000 0.1120 0.2500 x4  2 Tl 3.38, 10 Y 3.42-3.53
Y: 0.2087 0.3881 0.2500 x8  4 Tl 3.16-3.53, 7 Y 3.42-3.53
Tl: 0.0000 0.3230 0.7500 x4  10 Y 3.16-3.53